Below is AcDyMgCd after structural relaxation, with properties calculated at the PBE level.

Cell: 3.896 3.896 7.993 Å, 90.00 90.00 90.00°
Fractional positions:
Cd: 0.000 0.000 0.320
Dy: 0.500 0.500 0.112
Mg: 0.000 0.000 0.889
Ac: 0.500 0.500 0.607

Properties
Space group   P4mm, No. 99
Distance to the lowest polymorph of the same formula   0.0 meV per atom
Total DFT energy (no corrections)   -2.98 eV/atom
Energy relative to the elements   -0.177 eV/atom